Entry 1:
# MgZrTl2 | Alexandria | meta-GGA SCAN | single point on PBEsol structure
# ΔE_f = -0.145 eV per atom
# Theoretical density = 9.6 Mg/m³
# Volume = 90.4 Å³/f.u.
data_MgZrTl2
_chemical_formula_sum 'Mg2 Zr2 Tl4'
_cell_length_a 4.210
_cell_length_b 4.210
_cell_length_c 10.198
_cell_angle_alpha 90.00
_cell_angle_beta 90.00
_cell_angle_gamma 90.00
_space_group_name_H-M_alt 'I -4 m 2'
_space_group_IT_number 119
_space_group_name_Hall 'I -4 -2'
loop_
_atom_site_label
_atom_site_type_symbol
_atom_site_fract_x
_atom_site_fract_y
_atom_site_fract_z
Mg1 Mg 0.000 0.000 0.000
Zr1 Zr 0.000 0.500 0.750
Tl1 Tl 0.000 0.000 0.500
Tl2 Tl 0.000 0.500 0.250


Entry 2:
# ReAgPb | Alexandria | meta-GGA SCAN | single point on PBEsol structure
# ΔE_f = 1.156 eV per atom
# Theoretical density = 12.8 Mg/m³
# Volume = 64.8 Å³/f.u.
data_ReAgPb
_chemical_formula_sum 'Re4 Ag4 Pb4'
_cell_length_a 6.377
_cell_length_b 6.377
_cell_length_c 6.377
_cell_angle_alpha 90.00
_cell_angle_beta 90.00
_cell_angle_gamma 90.00
_space_group_name_H-M_alt 'F -4 3 m'
_space_group_IT_number 216
_space_group_name_Hall 'F -4 2 3'
loop_
_atom_site_label
_atom_site_type_symbol
_atom_site_fract_x
_atom_site_fract_y
_atom_site_fract_z
Re1 Re 0.000 0.000 0.000
Ag1 Ag 0.250 0.250 0.750
Pb1 Pb 0.250 0.250 0.250


Entry 3:
# Ca2TaSe | Alexandria | meta-GGA SCAN | single point on PBEsol structure
# Theoretical density = 5.9 Mg/m³
# Volume = 96.5 Å³/f.u.
# Formation energy from raw total energies = -0.537 eV per formula unit
data_Ca2TaSe
_chemical_formula_sum 'Ca4 Ta2 Se2'
_cell_length_a 11.622
_cell_length_b 3.331
_cell_length_c 5.371
_cell_angle_alpha 90.00
_cell_angle_beta 111.89
_cell_angle_gamma 90.00
_space_group_name_H-M_alt 'C 1 m 1'
_space_group_IT_number 8
loop_
_space_group_symop_operation_xyz
'x,y,z'
'x,-y,z'
'x+1/2,y+1/2,z'
'x+1/2,-y+1/2,z'
loop_
_atom_site_label
_atom_site_type_symbol
_atom_site_fract_x
_atom_site_fract_y
_atom_site_fract_z
Ca1 Ca 0.000 0.000 0.000
Ca2 Ca 0.193 0.000 0.653
Ta1 Ta 0.281 0.500 0.232
Se1 Se 0.458 0.000 0.462